(1)
MgSi2Cl: single point on PBEsol structure, SCAN.

Lattice parameters (Å, degrees): 3.7673 3.7673 7.5474 104.67 104.67 59.99
With the nearest neighbours (Å) after each atom.
Atoms (fractional coordinates):
Mg  0.0000  0.0000  0.0000  3 Cl 2.52, 1 Si 2.75
Si  0.5757  0.5757  0.7312  3 Si 2.32
Si  0.8711  0.8711  0.6193  3 Si 2.32
Cl  0.3928  0.3928  0.1762  3 Mg 2.52

**Final energy**: -8.783 eV/atom
**Uncorrected formation energy**: -537 meV/atom
**Distance to the lowest polymorph of the same formula**: 0.00 eV per formula unit
**Space-group type**: Cm, No. 8
**DOS at the Fermi energy**: 0.67 states/eV/f.u.



(2)
LaBeCo: single point on PBEsol structure, SCAN.

Lattice parameters (Å, degrees): 3.8413 3.8413 4.0862 90.00 90.00 120.00
With the nearest neighbours (Å) after each atom.
Atoms (fractional coordinates):
La  0.0000  0.0000  0.0000  6 Co 3.02, 6 Be 3.02
Be  0.3333  0.6667  0.5000  3 Co 2.22
Co  0.6667  0.3333  0.5000  3 Be 2.22

**Final energy**: -21.502 eV/atom
**DFT formation energy**: 85 meV/atom
**Space-group type**: P-6m2, No. 187
**DOS at the Fermi energy**: 1.32 states/eV/f.u.



(3)
TlBiAu2Se: single point on PBEsol structure, SCAN.

Lattice parameters (Å, degrees): 5.1933 5.1933 5.9968 90.00 90.00 90.00
With the nearest neighbours (Å) after each atom.
Atoms (fractional coordinates):
Tl  0.0000  0.0000  0.0000  2 Bi 3.00
Bi  0.0000  0.0000  0.5000  4 Au 2.60
Au  0.0000  0.5000  0.5000  2 Bi 2.60
Au  0.5000  0.0000  0.5000  2 Bi 2.60
Se  0.5000  0.5000  0.0000  4 Tl 3.67, 8 Au 3.97

**Final energy**: -61.310 eV/atom
**Uncorrected formation energy**: 556 meV/atom
**Space-group type**: P4/mmm, No. 123
**DOS at the Fermi energy**: 2.23 states/eV/f.u.



(4)
Tl3ReBr: single point on PBEsol structure, SCAN.

Lattice parameters (Å, degrees): 5.2715 5.2715 5.2715 90.00 90.00 90.00
With the nearest neighbours (Å) after each atom.
Atoms (fractional coordinates):
Tl  0.0000  0.0000  0.5000  2 Re 2.64
Tl  0.0000  0.5000  0.0000  2 Re 2.64
Tl  0.5000  0.0000  0.0000  2 Re 2.64
Re  0.0000  0.0000  0.0000  6 Tl 2.64
Br  0.5000  0.5000  0.5000  12 Tl 3.73

**Final energy**: -61.134 eV/atom
**Uncorrected formation energy**: 393 meV/atom
**Space-group type**: Pm-3m, No. 221
**DOS at the Fermi energy**: 4.17 states/eV/f.u.



(5)
K3AsPt: single point on PBEsol structure, SCAN.

Lattice parameters (Å, degrees): 6.0708 6.0708 6.0708 90.00 90.00 90.00
With the nearest neighbours (Å) after each atom.
Atoms (fractional coordinates):
K  0.0000  0.0000  0.5000  2 As 3.04
K  0.0000  0.5000  0.0000  2 As 3.04
K  0.5000  0.0000  0.0000  2 As 3.04
As  0.0000  0.0000  0.0000  6 K 3.04
Pt  0.5000  0.5000  0.5000  12 K 4.29

**Final energy**: -22.651 eV/atom
**DFT formation energy**: 423 meV/atom
**Space-group type**: Pm-3m, No. 221
**DOS at the Fermi energy**: 10.47 states/eV/f.u.



(6)
Ba2SrCa: single point on PBEsol structure, SCAN.

Lattice parameters (Å, degrees): 4.0603 4.0603 13.0609 90.00 90.00 107.40
With the nearest neighbours (Å) after each atom.
Atoms (fractional coordinates):
Ba  0.0000  0.0000  0.2421  2 Ca 3.97, 4 Ba 4.06, 2 Sr 4.14
Ba  0.0000  0.0000  0.7579  2 Ca 3.97, 4 Ba 4.06, 2 Sr 4.14
Sr  0.5000  0.5000  0.5000  4 Sr 4.06, 4 Ba 4.14
Ca  0.5000  0.5000  0.0000  4 Ba 3.97, 4 Ca 4.06

**Final energy**: -27.726 eV/atom
**Distance to the lowest polymorph of the same formula**: 0.03 eV per formula unit
**DFT formation energy**: 34 meV/atom
**Space-group type**: Cmmm, No. 65
**DOS at the Fermi energy**: 4.03 states/eV/f.u.



- Among the records above, which one has the highest final energy?
  MgSi2Cl



- Which of these has the highest DOS at the Fermi energy?
  K3AsPt



- Which of these has the lowest final energy?
  TlBiAu2Se



Repeat the third record exactly.
TlBiAu2Se: single point on PBEsol structure, SCAN.

Lattice parameters (Å, degrees): 5.1933 5.1933 5.9968 90.00 90.00 90.00
With the nearest neighbours (Å) after each atom.
Atoms (fractional coordinates):
Tl  0.0000  0.0000  0.0000  2 Bi 3.00
Bi  0.0000  0.0000  0.5000  4 Au 2.60
Au  0.0000  0.5000  0.5000  2 Bi 2.60
Au  0.5000  0.0000  0.5000  2 Bi 2.60
Se  0.5000  0.5000  0.0000  4 Tl 3.67, 8 Au 3.97

**Final energy**: -61.310 eV/atom
**Uncorrected formation energy**: 556 meV/atom
**Space-group type**: P4/mmm, No. 123
**DOS at the Fermi energy**: 2.23 states/eV/f.u.